Density functional theory data (PBE-GGA) for a relaxed structure of CsYScI6.

Cell lengths 7.7083, 7.5507, 9.0788 Å; angles 91.25, 92.41, 59.29 degrees
With the nearest neighbours (Å) after each atom.
Fractional coordinates of all 9 atoms:
I 0.6289 0.9896 0.2824  1 Sc 2.93, 1 Y 3.01
I 0.9829 0.3616 0.3152  1 Sc 3.05, 1 Y 3.05
Y 0.3489 0.3025 0.5000  6 I 3.01-3.13
I 0.0006 0.6489 0.6819  1 Sc 2.96, 1 Y 3.13
I 0.3812 0.9900 0.7174  1 Sc 2.93, 1 Y 3.01
Sc 0.6518 0.6963 0.4999  6 I 2.93-3.05
I 0.3509 0.6483 0.3178  1 Sc 2.96, 1 Y 3.13
Cs 0.9996 0.0005 0.0000  6 I 3.87-3.95
I 0.6550 0.3625 0.6852  1 Sc 3.05, 1 Y 3.05

Output
formation energy without anion corrections: -1.326 eV per atom
N(E_F): 0.511 states/eV per cell
spin magnetization: 1.04 μB per formula unit
symmetry: C2

---

Density functional theory data (PBE-GGA) for a relaxed structure of CsScZnI6.

Cell lengths 7.4885, 7.4885, 8.8286 Å; angles 90.00, 90.00, 60.00 degrees
With the nearest neighbours (Å) after each atom.
Fractional coordinates of all 9 atoms:
I 0.3690 0.0022 0.6879  1 Zn 2.88, 1 Sc 2.90
Zn 0.3333 0.3333 0.5000  6 I 2.88
I 0.6288 0.0022 0.3120  1 Zn 2.88, 1 Sc 2.90
I 0.0021 0.3690 0.3120  1 Zn 2.88, 1 Sc 2.90
I 0.3690 0.6288 0.3120  1 Zn 2.88, 1 Sc 2.90
Cs 0.0000 0.0000 0.0000  6 I 3.91
Sc 0.6667 0.6667 0.5000  6 I 2.90
I 0.0021 0.6288 0.6879  1 Zn 2.88, 1 Sc 2.90
I 0.6287 0.3691 0.6879  1 Zn 2.88, 1 Sc 2.90

Output
formation energy without anion corrections: -1.040 eV per atom
N(E_F): 0.000 states/eV per cell
spin magnetization: 0.00 μB per formula unit
symmetry: P312

---

Density functional theory data (PBE-GGA) for a relaxed structure of Cs2ScZnI6.

Cell lengths 8.4665, 8.4665, 8.4506 Å; angles 59.94, 59.94, 90.00 degrees
With the nearest neighbours (Å) after each atom.
Fractional coordinates of all 10 atoms:
Sc 0.5000 0.5000 0.0000  6 I 2.92-2.93
I 0.2547 0.2547 0.4906  1 Sc 2.93, 1 Zn 3.04
Zn 0.0000 0.0000 0.0000  6 I 3.04-3.06
I 0.2559 0.2559 0.0000  1 Sc 2.92, 1 Zn 3.06
I 0.7441 0.7441 0.0000  1 Sc 2.92, 1 Zn 3.06
I 0.7453 0.7453 0.5094  1 Sc 2.93, 1 Zn 3.04
Cs 0.2500 0.7500 0.5000  12 I 4.23
I 0.7441 0.2559 0.0000  1 Sc 2.92, 1 Zn 3.06
I 0.2559 0.7441 0.0000  1 Sc 2.92, 1 Zn 3.06
Cs 0.7500 0.2500 0.5000  12 I 4.23

Output
formation energy without anion corrections: -1.106 eV per atom
N(E_F): 6.874 states/eV per cell
spin magnetization: 0.00 μB per formula unit
symmetry: I4/mmm

---

Density functional theory data (PBE-GGA) for a relaxed structure of Cs4Se2I5.

Cell lengths 4.7845, 10.8172, 10.9416 Å; angles 89.13, 90.00, 90.00 degrees
With the nearest neighbours (Å) after each atom.
Fractional coordinates of all 11 atoms:
I 0.0000 0.3429 0.6147  1 Se 3.27
Cs 0.5000 0.6286 0.6955  8 I 4.01-4.31
Cs 0.5000 0.7774 0.1121  8 I 3.98-4.40
Se 0.0000 0.0418 0.5903  1 Se 2.19
I 0.0000 0.5000 0.0000  8 Cs 4.04-4.31, 2 I 4.50
I 0.0000 0.1149 0.1603  1 Se 3.19
I 0.0000 0.6571 0.3853  1 Se 3.27
Cs 0.5000 0.3714 0.3045  8 I 4.01-4.31
Cs 0.5000 0.2226 0.8879  8 I 3.98-4.40
I 0.0000 0.8851 0.8397  1 Se 3.19
Se 0.0000 0.9582 0.4097  1 Se 2.19

Output
formation energy without anion corrections: -1.021 eV per atom
N(E_F): 1.840 states/eV per cell
spin magnetization: 0.96 μB per formula unit
symmetry: P2/m

---

Density functional theory data (PBE-GGA) for a relaxed structure of Cs4SeI2.

Cell lengths 5.1390, 9.3542, 10.0528 Å; angles 66.78, 75.19, 74.06 degrees
With the nearest neighbours (Å) after each atom.
Fractional coordinates of all 7 atoms:
Cs 0.6543 0.7676 0.9238  2 Se 3.55
I 0.3553 0.6012 0.6882  7 Cs 4.01-4.06
I 0.6447 0.3988 0.3118  7 Cs 4.01-4.06
Cs 0.3457 0.2324 0.0762  2 Se 3.55
Cs 0.0377 0.2746 0.6500  1 Se 3.44
Cs 0.9623 0.7254 0.3500  1 Se 3.44
Se 0.0000 0.0000 0.0000  6 Cs 3.44-3.55

Output
formation energy without anion corrections: -1.308 eV per atom
spin magnetization: 0.09 μB per formula unit
symmetry: C2/m
ΔE to the lowest computed polymorph: 0.000 eV/atom

---

Density functional theory data (PBE-GGA) for a relaxed structure of Cs3SeI6.

Cell lengths 9.8231, 9.8231, 9.8231 Å; angles 84.55, 84.55, 84.55 degrees
With the nearest neighbours (Å) after each atom.
Fractional coordinates of all 20 atoms:
I 0.4834 0.4849 0.8187  1 Se 3.11
I 0.1047 0.8001 0.7995  1 Se 2.96
Cs 0.8621 0.8592 0.4733  7 I 3.75-4.16, 1 Cs 4.15
Cs 0.5267 0.1379 0.1408  7 I 3.75-4.16, 1 Cs 4.15
I 0.2005 0.8953 0.1999  1 Se 2.96
I 0.5166 0.5151 0.1813  1 Se 3.11
I 0.1813 0.5166 0.5151  1 Se 3.11
I 0.1999 0.2005 0.8953  1 Se 2.96
Cs 0.4733 0.8621 0.8592  7 I 3.75-4.16, 1 Cs 4.15
I 0.8001 0.7995 0.1047  1 Se 2.96
Cs 0.8592 0.4733 0.8621  7 I 3.75-4.16, 1 Cs 4.15
Cs 0.1379 0.1408 0.5267  7 I 3.75-4.16, 1 Cs 4.15
Se 0.0000 0.0000 0.0000  6 I 2.96
I 0.5151 0.1813 0.5166  1 Se 3.11
Se 0.5000 0.5000 0.5000  6 I 3.11
I 0.8953 0.1999 0.2005  1 Se 2.96
Cs 0.1408 0.5267 0.1379  7 I 3.75-4.16, 1 Cs 4.15
I 0.8187 0.4834 0.4849  1 Se 3.11
I 0.4849 0.8187 0.4834  1 Se 3.11
I 0.7995 0.1047 0.8001  1 Se 2.96

Output
formation energy without anion corrections: -0.823 eV per atom
N(E_F): 9.502 states/eV per cell
spin magnetization: 0.36 μB per formula unit
symmetry: R-3
ΔE to the lowest computed polymorph: 0.000 eV/atom